## CrSnO2 (GGA+U)

Data for a geometry-optimized CrSnO2 structure.

```
data_CrSnO2
_chemical_formula_sum 'Cr2 Sn2 O4'
_symmetry_space_group_name_H-M 'P 1'
_symmetry_Int_Tables_number 1
_symmetry_space_group_name_Hall 'P 1'
_cell_length_a 15.651
_cell_length_b 6.522
_cell_length_c 6.522
_cell_angle_alpha 102.07
_cell_angle_beta 139.44
_cell_angle_gamma 40.56
loop_
_atom_site_label
_atom_site_type_symbol
_atom_site_fract_x
_atom_site_fract_y
_atom_site_fract_z
O1 O 0.613 0.921 0.251
Sn1 Sn 0.754 0.383 0.395
Sn2 Sn 0.254 0.105 0.117
O2 O 0.395 0.567 0.261
Cr1 Cr 0.254 0.720 0.732
O3 O 0.113 0.249 0.579
O4 O 0.895 0.239 0.933
Cr2 Cr 0.754 0.768 0.780
```

Calculated values
The relative energy among the computed polymorphs is 0.187 eV per atom. As for the total DFT energy (no corrections): -6.684 eV/atom.